[1]
{
  "formula": "LaTh2Mn",
  "functional": "PBE",
  "state": "optimized geometry",
  "de_polymorph_mev_per_atom": 219,
  "ef_ev_per_atom": 0.369,
  "total_energy_ev_per_atom": -6.8650,
  "magnetic_moment_mub_per_cell": 0.0,
  "lattice_angstrom": [[3.7893, 0.0000, 0.0000], [1.8947, 3.2817, 0.0000], [1.8947, 1.0939, 10.0919]],
  "species": ["Th", "Th", "La", "Mn"],
  "fractional_positions": [[0.1156, 0.1156, 0.6531], [0.8844, 0.8844, 0.3469], [0.0000, 0.0000, 0.0000], [0.5000, 0.5000, 0.5000]]
}



[2]
{
  "formula": "Fe3As4",
  "functional": "PBE",
  "state": "optimized geometry",
  "de_polymorph_mev_per_atom": 0,
  "ef_ev_per_atom": 0.110,
  "total_energy_ev_per_atom": -6.1740,
  "magnetic_moment_mub_per_cell": 5.1,
  "lattice_angstrom": [[-8.4380, 3.4724, 3.9641], [-7.8844, 6.0644, 0.1770], [6.9507, -6.3063, -3.3000]],
  "species": ["As", "As", "As", "As", "Fe", "Fe", "Fe"],
  "fractional_positions": [[0.8313, 0.8313, 0.0000], [0.5696, 0.5696, 0.0000], [0.4304, 0.4304, 0.0000], [0.1687, 0.1687, 0.0000], [0.7057, 0.7057, 0.0000], [0.2943, 0.2943, 0.0000], [0.0000, 0.0000, 0.0000]]
}



[3]
{
  "formula": "LiThTl2",
  "functional": "PBE",
  "state": "optimized geometry",
  "ef_ev_per_atom": -0.189,
  "total_energy_ev_per_atom": -3.7056,
  "magnetic_moment_mub_per_cell": 0.0,
  "lattice_angstrom": [[-2.7450, -0.9613, 2.0719], [-0.9039, -2.5175, -2.3657], [4.6178, -5.1581, 3.7247]],
  "species": ["Th", "Tl", "Tl", "Li"],
  "fractional_positions": [[0.5000, 0.5000, 0.5000], [0.0000, 0.0000, 0.7910], [0.0000, 0.0000, 0.2090], [0.5000, 0.5000, 0.0000]]
}



[4]
{
  "formula": "Li2MgRu",
  "functional": "PBE",
  "state": "optimized geometry",
  "ef_ev_per_atom": 0.107,
  "total_energy_ev_per_atom": -3.5677,
  "magnetic_moment_mub_per_cell": 0.0,
  "lattice_angstrom": [[-2.7597, 3.1219, 1.4703], [-1.5760, -1.8395, 0.9480], [1.9629, -0.6770, 5.1218]],
  "species": ["Mg", "Ru", "Li", "Li"],
  "fractional_positions": [[0.0000, 0.4478, 0.5294], [0.5000, 0.8046, 0.7467], [0.5000, 0.1931, 0.2301], [0.0000, 0.0545, 0.9939]]
}



[5]
{
  "formula": "HfHS2",
  "functional": "PBE",
  "state": "optimized geometry",
  "de_polymorph_mev_per_atom": 588,
  "total_energy_ev_per_atom": -5.7684,
  "magnetic_moment_mub_per_cell": 0.9,
  "lattice_angstrom": [[0.0000, 3.1063, 3.1063], [3.1063, 0.0000, 3.1063], [3.1063, 3.1063, 0.0000]],
  "species": ["S", "S", "H", "Hf"],
  "fractional_positions": [[0.2500, 0.2500, 0.2500], [0.7500, 0.7500, 0.7500], [0.0000, 0.0000, 0.0000], [0.5000, 0.5000, 0.5000]]
}



[6]
{
  "formula": "La4InCu",
  "functional": "PBE",
  "state": "optimized geometry",
  "de_polymorph_mev_per_atom": 0,
  "ef_ev_per_atom": -0.214,
  "total_energy_ev_per_atom": -4.6378,
  "magnetic_moment_mub_per_cell": 0.0,
  "lattice_angstrom": [[-5.1185, 0.4460, 2.2973], [-0.2066, -7.2866, 0.9544], [7.3324, 0.6313, 6.4071]],
  "species": ["La", "La", "La", "La", "La", "La", "La", "La", "Cu", "Cu", "In", "In"],
  "fractional_positions": [[0.1030, 0.9775, 0.7677], [0.3904, 0.7500, 0.5386], [0.1030, 0.5225, 0.7677], [0.8970, 0.4775, 0.2323], [0.6096, 0.2500, 0.4614], [0.6644, 0.2500, 0.8728], [0.8970, 0.0225, 0.2323], [0.3356, 0.7500, 0.1272], [0.8134, 0.7500, 0.4499], [0.1866, 0.2500, 0.5501], [0.6920, 0.7500, 0.9113], [0.3080, 0.2500, 0.0887]]
}



[7]
{
  "formula": "Ac2PmY8",
  "functional": "PBE",
  "state": "optimized geometry",
  "ef_ev_per_atom": 0.199,
  "total_energy_ev_per_atom": -5.6814,
  "magnetic_moment_mub_per_cell": 0.0,
  "lattice_angstrom": [[6.1091, 0.0000, -2.7544], [-0.7791, 6.6024, -1.7281], [0.4674, 0.7034, 9.1889]],
  "species": ["Ac", "Ac", "Y", "Y", "Y", "Y", "Y", "Y", "Y", "Y", "Pm"],
  "fractional_positions": [[0.2473, 0.3262, 0.4946], [0.7527, 0.6738, 0.5054], [0.3402, 0.3981, 0.1615], [0.5902, 0.9158, 0.1803], [0.4098, 0.0842, 0.8197], [0.8213, 0.3981, 0.1615], [0.1920, 0.8133, 0.3840], [0.6598, 0.6019, 0.8385], [0.1787, 0.6019, 0.8385], [0.8080, 0.1867, 0.6160], [0.0000, 0.0000, 0.0000]]
}